Compound: KBe3
Source: Alexandria via LeMat-Bulk
Functional: GGA-PBE
Structure: optimized geometry

As for the density: 1.37 Mg/m³. The calculation puts the energy above the most stable polymorph in this dataset at 0.000 eV per formula unit. The size of the total moment comes out at 0.0 Bohr magnetons per cell.

It has space group P6_3/mmc (No. 194), with a = 7.3089 Å, b = 7.3089 Å, c = 3.4566 Å, α = 90.00°, β = 90.00° and γ = 120.00°. The distinct sites, in fractional coordinates, are K at (0.3333, 0.6667, 0.2500) and Be at (0.0962, 0.1924, 0.7500).